First-principles (PBE) data for a relaxed MgCdAg crystal, as listed in the Alexandria database. Values from VASP.

Formation enthalpy at 0 K   -0.0664 eV per atom
Density of states at the Fermi level   0.7 states/eV/cell
E above lowest polymorph   88.2 meV per atom
SG   P3m1

Structure (Quantum ESPRESSO input):
```
&SYSTEM
  ibrav = 0, nat = 3, ntyp = 3
/
ATOMIC_SPECIES
Cd 112.41 Cd.upf
Mg 24.30 Mg.upf
Ag 107.87 Ag.upf
CELL_PARAMETERS angstrom
-1.428 -2.709 0.647
1.547 1.530 2.250
-5.966 3.547 1.689
ATOMIC_POSITIONS crystal
Cd 0.667 0.333 0.329
Mg 0.333 0.667 0.679
Ag 0.000 0.000 0.992
```